This record from Alexandria describes a geometry-optimized NiMo3N structure. The functional is GGA-PBEsol.

The value obtained for the density is 7.2 g/cm³. As for the volume: 83 Å³ per cell. As for the formation energy (no corrections): 2418 meV per atom.

It has space group Pm-3m (No. 221), with a = 4.366 Å, b = 4.366 Å, c = 4.366 Å, α = 90.00°, β = 90.00° and γ = 90.00°. The distinct sites, in fractional coordinates, are Ni at (0.000, 0.000, 0.000), Mo at (0.000, 0.000, 0.500) and N at (0.500, 0.500, 0.500).